# LaTcB PBE optimized geometry
# E_form, eV/atom: -0.0341
# DOS at the Fermi energy, states/eV/f.u.: 2.177
# Crystal system: monoclinic
# V, Å³ per atom: 19.5
data_LaTcB
_cell_length_a 10.765
_cell_length_b 3.452
_cell_length_c 6.562
_cell_angle_alpha 90.00
_cell_angle_beta 106.76
_cell_angle_gamma 90.00
_space_group_name_H-M_alt 'C 1 2/m 1'
_space_group_IT_number 12
loop_
_space_group_symop_operation_xyz
'x,y,z'
'-x,-y,-z'
'-x,y,-z'
'x,-y,z'
'x+1/2,y+1/2,z'
'-x+1/2,-y+1/2,-z'
'-x+1/2,y+1/2,-z'
'x+1/2,-y+1/2,z'
loop_
_atom_site_label
_atom_site_fract_x
_atom_site_fract_y
_atom_site_fract_z
La1 0.099 0.000 0.287
Tc1 0.191 0.000 0.834
B1 0.118 0.500 0.948



# CaZrSc2 PBE optimized geometry
# E_form, eV/atom: 0.2690
# DOS at the Fermi energy, states/eV/f.u.: 8.029
# Crystal system: tetragonal
# E above lowest polymorph, eV/atom: 0.167
# V, Å³ per atom: 26.3
data_CaZrSc2
_cell_length_a 4.695
_cell_length_b 4.695
_cell_length_c 9.552
_cell_angle_alpha 90.00
_cell_angle_beta 90.00
_cell_angle_gamma 90.00
_space_group_name_H-M_alt 'I -4 m 2'
_space_group_IT_number 119
_space_group_name_Hall 'I -4 -2'
loop_
_atom_site_label
_atom_site_fract_x
_atom_site_fract_y
_atom_site_fract_z
Ca1 0.000 0.000 0.000
Zr1 0.000 0.500 0.250
Sc1 0.000 0.000 0.500
Sc2 0.000 0.500 0.750



# TaP2Br PBE optimized geometry
# Formation energy without anion corrections, eV/atom: 0.31
# DOS at the Fermi energy, states/eV/f.u.: 3.616
# Crystal system: orthorhombic
# E above lowest polymorph, eV/atom: 0.672
# V, Å³ per atom: 22.8
data_TaP2Br
_cell_length_a 3.089
_cell_length_b 6.189
_cell_length_c 9.562
_cell_angle_alpha 90.00
_cell_angle_beta 90.00
_cell_angle_gamma 90.00
_space_group_name_H-M_alt 'C m m 2'
_space_group_IT_number 35
loop_
_space_group_symop_operation_xyz
'x,y,z'
'-x,-y,z'
'-x,y,z'
'x,-y,z'
'x+1/2,y+1/2,z'
'-x+1/2,-y+1/2,z'
'-x+1/2,y+1/2,z'
'x+1/2,-y+1/2,z'
loop_
_atom_site_label
_atom_site_fract_x
_atom_site_fract_y
_atom_site_fract_z
Ta1 0.000 0.000 0.000
P1 0.000 0.000 0.372
P2 0.000 0.500 0.219
Br1 0.000 0.500 0.781



# BePb2W PBE optimized geometry
# E_form, eV/atom: 1.1342
# DOS at the Fermi energy, states/eV/f.u.: 3.147
# Crystal system: tetragonal
# V, Å³ per atom: 20.0
data_BePb2W
_cell_length_a 4.808
_cell_length_b 4.808
_cell_length_c 3.463
_cell_angle_alpha 90.00
_cell_angle_beta 90.00
_cell_angle_gamma 90.00
_space_group_name_H-M_alt 'P 4/m m m'
_space_group_IT_number 123
_space_group_name_Hall '-P 4 2'
loop_
_atom_site_label
_atom_site_fract_x
_atom_site_fract_y
_atom_site_fract_z
Be1 0.000 0.000 0.000
Pb1 0.000 0.500 0.500
W1 0.500 0.500 0.000



# LiPtRh2 PBE optimized geometry
# E_form, eV/atom: -0.0439
# DOS at the Fermi energy, states/eV/f.u.: 5.929
# Crystal system: orthorhombic
# E above lowest polymorph, eV/atom: 0.216
# V, Å³ per atom: 14.5
data_LiPtRh2
_cell_length_a 2.726
_cell_length_b 4.656
_cell_length_c 9.124
_cell_angle_alpha 90.00
_cell_angle_beta 90.00
_cell_angle_gamma 90.00
_space_group_name_H-M_alt 'C m m 2'
_space_group_IT_number 35
loop_
_space_group_symop_operation_xyz
'x,y,z'
'-x,-y,z'
'-x,y,z'
'x,-y,z'
'x+1/2,y+1/2,z'
'-x+1/2,-y+1/2,z'
'-x+1/2,y+1/2,z'
'x+1/2,-y+1/2,z'
loop_
_atom_site_label
_atom_site_fract_x
_atom_site_fract_y
_atom_site_fract_z
Li1 0.000 0.000 0.000
Pt1 0.000 0.500 0.240
Rh1 0.000 0.000 0.508
Rh2 0.000 0.500 0.756



# LaNiP2Pd PBE optimized geometry
# E_form, eV/atom: -0.9544
# DOS at the Fermi energy, states/eV/f.u.: 2.016
# Crystal system: tetragonal
# V, Å³ per atom: 16.7
data_LaNiP2Pd
_cell_length_a 4.130
_cell_length_b 4.130
_cell_length_c 9.789
_cell_angle_alpha 90.00
_cell_angle_beta 90.00
_cell_angle_gamma 90.00
_space_group_name_H-M_alt 'I -4 m 2'
_space_group_IT_number 119
_space_group_name_Hall 'I -4 -2'
loop_
_atom_site_label
_atom_site_fract_x
_atom_site_fract_y
_atom_site_fract_z
La1 0.000 0.000 0.000
Ni1 0.000 0.500 0.750
P1 0.000 0.000 0.380
Pd1 0.000 0.500 0.250



# Ac4Cu2Rh PBE optimized geometry
# E_form, eV/atom: -0.1218
# DOS at the Fermi energy, states/eV/f.u.: 7.994
# Crystal system: tetragonal
# E above lowest polymorph, eV/atom: 0.174
# V, Å³ per atom: 35.1
data_Ac4Cu2Rh
_cell_length_a 5.822
_cell_length_b 5.822
_cell_length_c 14.503
_cell_angle_alpha 90.00
_cell_angle_beta 90.00
_cell_angle_gamma 90.00
_space_group_name_H-M_alt 'I 4/m m m'
_space_group_IT_number 139
_space_group_name_Hall '-I 4 2'
loop_
_atom_site_label
_atom_site_fract_x
_atom_site_fract_y
_atom_site_fract_z
Ac1 0.000 0.000 0.204
Ac2 0.000 0.500 0.000
Cu1 0.000 0.000 0.413
Rh1 0.000 0.000 0.000



# PdRuNF2 PBE optimized geometry
# Formation energy without anion corrections, eV/atom: 0.55
# DOS at the Fermi energy, states/eV/f.u.: 3.789
# Crystal system: tetragonal
# E above lowest polymorph, eV/atom: 0.649
# V, Å³ per atom: 14.4
data_PdRuNF2
_cell_length_a 4.385
_cell_length_b 4.385
_cell_length_c 3.746
_cell_angle_alpha 90.00
_cell_angle_beta 90.00
_cell_angle_gamma 90.00
_space_group_name_H-M_alt 'P 4/m m m'
_space_group_IT_number 123
_space_group_name_Hall '-P 4 2'
loop_
_atom_site_label
_atom_site_fract_x
_atom_site_fract_y
_atom_site_fract_z
Pd1 0.000 0.000 0.000
Ru1 0.500 0.500 0.500
N1 0.000 0.000 0.500
F1 0.000 0.500 0.000



# K2HgPdF6 PBE optimized geometry
# Formation energy without anion corrections, eV/atom: -1.95
# Crystal system: monoclinic
# E above lowest polymorph, eV/atom: 0.000
# V, Å³ per atom: 19.0
data_K2HgPdF6
_cell_length_a 5.758
_cell_length_b 6.184
_cell_length_c 11.977
_cell_angle_alpha 90.00
_cell_angle_beta 117.25
_cell_angle_gamma 90.00
_space_group_name_H-M_alt 'P 1 21/c 1'
_space_group_IT_number 14
loop_
_space_group_symop_operation_xyz
'x,y,z'
'-x,-y,-z'
'-x,y+1/2,-z+1/2'
'x,-y+1/2,z+1/2'
loop_
_atom_site_label
_atom_site_fract_x
_atom_site_fract_y
_atom_site_fract_z
K1 0.212 0.051 0.248
Hg1 0.500 0.000 0.000
Pd1 0.000 0.000 0.500
F1 0.095 0.244 0.927
F2 0.167 0.693 0.922
F3 0.407 0.035 0.811



# Y4CuPd PBE optimized geometry
# E_form, eV/atom: -0.1552
# DOS at the Fermi energy, states/eV/f.u.: 9.329
# Crystal system: tetragonal
# V, Å³ per atom: 30.3
data_Y4CuPd
_cell_length_a 9.564
_cell_length_b 9.564
_cell_length_c 7.947
_cell_angle_alpha 90.00
_cell_angle_beta 90.00
_cell_angle_gamma 90.00
_space_group_name_H-M_alt 'I 41 m d'
_space_group_IT_number 109
_space_group_name_Hall 'I 4bw -2'
loop_
_atom_site_label
_atom_site_fract_x
_atom_site_fract_y
_atom_site_fract_z
Y1 0.000 0.290 0.000
Y2 0.000 0.296 0.498
Cu1 0.000 0.000 0.994
Pd1 0.000 0.000 0.503



# KCo2Ir PBE optimized geometry
# E_form, eV/atom: 0.8547
# DOS at the Fermi energy, states/eV/f.u.: 4.195
# Crystal system: orthorhombic
# E above lowest polymorph, eV/atom: 0.278
# V, Å³ per atom: 16.1
data_KCo2Ir
_cell_length_a 2.841
_cell_length_b 4.585
_cell_length_c 9.912
_cell_angle_alpha 90.00
_cell_angle_beta 90.00
_cell_angle_gamma 90.00
_space_group_name_H-M_alt 'C m m m'
_space_group_IT_number 65
_space_group_name_Hall '-C 2 2'
loop_
_atom_site_label
_atom_site_fract_x
_atom_site_fract_y
_atom_site_fract_z
K1 0.000 0.000 0.000
Co1 0.000 0.500 0.287
Ir1 0.000 0.000 0.500



# CeTlCdHg PBE optimized geometry
# E_form, eV/atom: -0.2557
# DOS at the Fermi energy, states/eV/f.u.: 6.866
# Crystal system: cubic
# V, Å³ per atom: 25.8
data_CeTlCdHg
_cell_length_a 7.447
_cell_length_b 7.447
_cell_length_c 7.447
_cell_angle_alpha 90.00
_cell_angle_beta 90.00
_cell_angle_gamma 90.00
_space_group_name_H-M_alt 'F -4 3 m'
_space_group_IT_number 216
_space_group_name_Hall 'F -4 2 3'
loop_
_atom_site_label
_atom_site_fract_x
_atom_site_fract_y
_atom_site_fract_z
Ce1 0.000 0.000 0.000
Tl1 0.250 0.250 0.750
Cd1 0.000 0.000 0.500
Hg1 0.250 0.250 0.250



# Ce2Dy2Si4Os PBE optimized geometry
# Formation energy without anion corrections, eV/atom: -0.33
# DOS at the Fermi energy, states/eV/f.u.: 5.569
# Crystal system: tetragonal
# V, Å³ per atom: 22.3
data_Ce2Dy2Si4Os
_cell_length_a 7.068
_cell_length_b 7.068
_cell_length_c 8.022
_cell_angle_alpha 90.00
_cell_angle_beta 90.00
_cell_angle_gamma 90.00
_space_group_name_H-M_alt 'I 4/m m m'
_space_group_IT_number 139
_space_group_name_Hall '-I 4 2'
loop_
_atom_site_label
_atom_site_fract_x
_atom_site_fract_y
_atom_site_fract_z
Ce1 0.000 0.000 0.177
Dy1 0.000 0.500 0.250
Si1 0.243 0.243 0.500
Os1 0.000 0.000 0.500



These records have spin magnetization values of 0.000; 0.409; 0.000; 0.000; 0.000; 0.000; 0.000; 3.439; 0.210; 0.716; 4.122; 1.019; 0.002 μB per formula unit, in the order they appear.